A geometry-optimized Y3HfOs structure. Source: Alexandria via LeMat-Bulk, functional PBE.

a = 5.347 Å, b = 5.347 Å, c = 5.347 Å
α = 90.00°, β = 90.00°, γ = 90.00°
Sites, in units of the cell vectors:
Y1 0.000 0.000 0.500
Y2 0.000 0.500 0.000
Y3 0.500 0.000 0.000
Hf1 0.500 0.500 0.500
Os1 0.000 0.000 0.000

Energy above the lowest structure with this stoichiometry   0.00 eV/f.u.
Space group   No. 221
Energy relative to the elements   0.403 eV per atom